The following is a DFT calculation (GGA-PBE) of La2CdPt after structural relaxation.

a = 7.243 Å, b = 7.243 Å, c = 7.243 Å
α = 90.00°, β = 90.00°, γ = 90.00°
Space group F-43m (No. 216)
Inequivalent atoms, fractional coordinates:
La 0.000 0.000 0.000 x4
La 0.250 0.250 0.250 x4
Cd 0.000 0.000 0.500 x4
Pt 0.250 0.250 0.750 x4

Summary:
total magnetic moment	0.0	Bohr magnetons per cell
Fermi-level density of states	1.6	states/eV/cell
formation enthalpy at 0 K	-0.565	eV/atom
volume	95	Å³/f.u.